A plane-wave DFT calculation with PBE-GGA was carried out for an optimized crystal structure of Sm4AlTl3.

## Properties
- raw total energy (eV per cell) = -32.7
- total magnetic moment (μB/f.u.) = 0.000
- DFT formation energy (eV/atom) = -0.376

Unit cell a=3.797 b=3.797 c=15.497 alpha=90.00 beta=90.00 gamma=90.00
Space group P4/mmm (No. 123)
Unique sites:
Sm  0.000  0.000  0.115
Sm  0.000  0.000  0.371
Al  0.500  0.500  0.000
Tl  0.500  0.500  0.243
Tl  0.500  0.500  0.500

=====

A plane-wave DFT calculation with PBE-GGA was carried out for an optimized crystal structure of KZnClF2.

## Properties
- raw total energy (eV per cell) = -74.6
- total magnetic moment (μB/f.u.) = 0.000
- offset from the most stable computed form (meV per atom) = 0
- formation energy without anion corrections (eV/atom) = -2.14

Unit cell a=3.824 b=12.888 c=7.496 alpha=90.00 beta=90.00 gamma=90.00
Space group Cmcm (No. 63)
Unique sites:
K  0.000  0.230  0.250
Zn  0.000  0.500  0.000
Cl  0.000  0.028  0.750
F  0.000  0.356  0.538

=====

A plane-wave DFT calculation with PBE-GGA was carried out for an optimized crystal structure of AlTl2B2O6.

## Properties
- raw total energy (eV per cell) = -145.7
- total magnetic moment (μB/f.u.) = 0.000
- formation energy without anion corrections (eV/atom) = -1.94

Unit cell a=8.593 b=5.096 c=8.077 alpha=90.00 beta=118.25 gamma=90.00
Space group C2/m (No. 12)
Unique sites:
Al  0.000  0.000  0.000
Tl  0.054  0.500  0.711
B  0.214  0.500  0.153
O  0.144  0.266  0.178
O  0.145  0.000  0.882

=====

A plane-wave DFT calculation with PBE-GGA was carried out for an optimized crystal structure of H2IrN.

## Properties
- raw total energy (eV per cell) = -160.3
- total magnetic moment (μB/f.u.) = 0.000
- offset from the most stable computed form (meV per atom) = 0

Unit cell a=6.088 b=6.088 c=6.088 alpha=90.00 beta=90.00 gamma=90.00
Space group Fd-3m (No. 227, origin choice 2)
Unique sites:
H  0.000  0.000  0.000
Ir  0.125  0.125  0.625
N  0.125  0.125  0.125

=====

A plane-wave DFT calculation with PBE-GGA was carried out for an optimized crystal structure of Be2GeIr.

## Properties
- raw total energy (eV per cell) = -78.0
- total magnetic moment (μB/f.u.) = 0.000
- DFT formation energy (eV/atom) = 0.356

Unit cell a=6.857 b=6.857 c=4.818 alpha=90.00 beta=90.00 gamma=90.00
Space group I-42d (No. 122)
Unique sites:
Be  0.198  0.750  0.125
Ge  0.000  0.000  0.500
Ir  0.000  0.000  0.000

=====

A plane-wave DFT calculation with PBE-GGA was carried out for an optimized crystal structure of ZrScP.

## Properties
- raw total energy (eV per cell) = -70.7
- total magnetic moment (μB/f.u.) = 0.000
- DFT formation energy (eV/atom) = -1.088

Unit cell a=7.1657 b=7.1657 c=3.6999 alpha=90.00 beta=90.00 gamma=120.00
Space group P-62m (No. 189)
Unique sites:
Zr  0.0000  0.4094  0.0000
Sc  0.0000  0.7459  0.5000
P  0.0000  0.0000  0.0000
P  0.3333  0.6667  0.5000

=====

A plane-wave DFT calculation with PBE-GGA was carried out for an optimized crystal structure of MgTcP2S.

## Properties
- raw total energy (eV per cell) = -20.9
- total magnetic moment (μB/f.u.) = 3.140
- offset from the most stable computed form (meV per atom) = 995
- formation energy without anion corrections (eV/atom) = 1.21

Unit cell a=4.736 b=4.736 c=4.685 alpha=90.00 beta=90.00 gamma=90.00
Space group P4/mmm (No. 123)
Unique sites:
Mg  0.000  0.000  0.000
Tc  0.500  0.500  0.500
P  0.000  0.500  0.000
S  0.000  0.000  0.500

=====

A plane-wave DFT calculation with PBE-GGA was carried out for an optimized crystal structure of AcY2WN4.

## Properties
- raw total energy (eV per cell) = -288.1
- total magnetic moment (μB/f.u.) = 0.000
- formation energy without anion corrections (eV/atom) = -1.09

Unit cell a=3.492 b=12.198 c=12.090 alpha=90.00 beta=90.00 gamma=90.00
Space group Cmcm (No. 63)
Unique sites:
Ac  0.000  0.081  0.250
Y  0.000  0.371  0.040
W  0.000  0.178  0.750
N  0.000  0.000  0.000
N  0.000  0.261  0.616
N  0.000  0.416  0.250